Record 1
VASP calculation (PBE-GGA) on a relaxed Na2LiAsF crystal.

```
data_Na2LiAsF
_symmetry_space_group_name_H-M 'P 4/m m m'
_symmetry_Int_Tables_number 123
_symmetry_space_group_name_Hall '-P 4 2'
_cell_length_a 4.9421
_cell_length_b 4.9421
_cell_length_c 3.6208
_cell_angle_alpha 90.00
_cell_angle_beta 90.00
_cell_angle_gamma 90.00
loop_
_atom_site_label
_atom_site_fract_x
_atom_site_fract_y
_atom_site_fract_z
Na1 0.0000 0.5000 0.0000
Li1 0.0000 0.0000 0.5000
As1 0.5000 0.5000 0.5000
F1 0.0000 0.0000 0.0000
```

Computed properties:
* calculated total energy: -3.52 eV per atom
* energy relative to the elements, uncorrected: -1302 meV per atom
* V: 17.688 Å³ per atom
* total magnetic moment: 0.00 μB/f.u.



Record 2
VASP calculation (PBE-GGA) on a relaxed LiNdAsF crystal.

```
data_LiNdAsF
_symmetry_space_group_name_H-M 'P 4/n m m'
_symmetry_Int_Tables_number 129
_cell_length_a 3.9670
_cell_length_b 3.9670
_cell_length_c 9.1081
_cell_angle_alpha 90.00
_cell_angle_beta 90.00
_cell_angle_gamma 90.00
loop_
_symmetry_equiv_pos_as_xyz
'x,y,z'
'-x,-y,-z'
'-y+1/2,x,z'
'y+1/2,-x,-z'
'-x+1/2,-y+1/2,z'
'x+1/2,y+1/2,-z'
'y,-x+1/2,z'
'-y,x+1/2,-z'
'x+1/2,-y,-z'
'-x+1/2,y,z'
'-y,-x,-z'
'y,x,z'
'-x,y+1/2,-z'
'x,-y+1/2,z'
'y+1/2,x+1/2,-z'
'-y+1/2,-x+1/2,z'
loop_
_atom_site_label
_atom_site_fract_x
_atom_site_fract_y
_atom_site_fract_z
Li1 0.2500 0.7500 0.0000
Nd1 0.2500 0.2500 0.3254
As1 0.2500 0.2500 0.8144
F1 0.2500 0.7500 0.5000
```

Computed properties:
* calculated total energy: -5.39 eV per atom
* energy relative to the elements, uncorrected: -2085 meV per atom
* V: 17.917 Å³ per atom
* total magnetic moment: 0.00 μB/f.u.